VASP calculation (SCAN) on a PBEsol-optimized structure of ScCd2Au.

a b c (Å): 4.125 4.125 4.569
angles (deg): 90.00 90.00 90.00
Fractional positions:
Cd  0.500  0.000  0.000
Cd  0.000  0.500  0.000
Au  0.000  0.000  0.500
Sc  0.500  0.500  0.500

The volume is 77.8 Å³/cell. The density of states at the Fermi level is 2.40 states/eV/f.u. The formation energy comes out at -0.46 eV per atom. Its space-group type is P4/mmm.